Record 1
## PmSm2SbN4 (PBE)

Data for a relaxed structure of PmSm2SbN4.

Lattice parameters (Å, degrees): 3.643 12.005 12.254 90.00 90.00 90.00
Space group Cmcm (No. 63)
Asymmetric unit:
Pm (0.000, 0.118, 0.250) x4
Sm (0.000, 0.371, 0.035) x8
Sb (0.000, 0.147, 0.750) x4
N (0.000, 0.000, 0.000) x4
N (0.000, 0.274, 0.631) x8
N (0.000, 0.450, 0.250) x4

Calculated values
DFT total energy in eV per atom: -7.109
Total magnetic moment in μB/f.u.: 0.0
Formation energy from raw total energies in eV per atom: -0.658

Record 2
## Pm2SmSbN4 (PBE)

Data for a relaxed structure of Pm2SmSbN4.

Lattice parameters (Å, degrees): 6.213 3.592 6.222 90.00 109.40 90.00
Space group P2/m (No. 10)
Asymmetric unit:
Pm (0.000, 0.000, 0.000) x1
Pm (0.000, 0.500, 0.500) x1
Sm (0.500, 0.000, 0.500) x1
Sb (0.500, 0.500, 0.000) x1
N (0.242, 0.000, 0.741) x2
N (0.247, 0.500, 0.256) x2

Calculated values
DFT total energy in eV per atom: -7.345
Total magnetic moment in μB/f.u.: 0.0
Formation energy from raw total energies in eV per atom: -0.889